## P
Computed, not measured: a geometry-optimized Hf2Tl2Os structure at the PBE level of DFT.

Calculated values
Crystal system: tetragonal

Cell: 3.9638 3.9638 14.3099 Å, 90.00 90.00 90.00°
Last column: nearest neighbours and their distance in Å.
Space group I4/mmm (No. 139)
Inequivalent atoms, fractional coordinates:
Hf1 0.0000 0.5000 0.2500 (multiplicity 4)  4 Hf 2.80, 4 Tl 2.99
Tl1 0.0000 0.0000 0.0939 (multiplicity 4)  1 Tl 2.69, 4 Hf 2.99
Os1 0.0000 0.0000 0.5000 (multiplicity 2)  8 Tl 3.11

## Q
Computed, not measured: a geometry-optimized Hf2Tl2Os structure at the PBE level of DFT.

Calculated values
Crystal system: tetragonal

Cell: 7.1947 7.1947 4.0325 Å, 90.00 90.00 90.00°
Last column: nearest neighbours and their distance in Å.
Space group P4/mbm (No. 127)
Inequivalent atoms, fractional coordinates:
Hf1 0.1684 0.3316 0.0000 (multiplicity 4)  6 Tl 2.81-3.00
Tl1 0.1394 0.6394 0.5000 (multiplicity 4)  2 Os 2.78, 6 Hf 2.81-3.00, 1 Tl 2.84
Os1 0.0000 0.0000 0.5000 (multiplicity 2)  4 Tl 2.78

Which one sits at the top of the stability order? Q does.